[1]
Compound: MoAs
Source: OQMD via LeMat-Bulk
Functional: PBE-GGA
Structure: relaxed Values from VASP.

Symmetry: Fm-3m (225)
Electronic total energy in eV/f.u.: -14.741

Structure (Quantum ESPRESSO input):
```
&SYSTEM
  ibrav = 0, nat = 2, ntyp = 2
/
ATOMIC_SPECIES
As 74.92 As.upf
Mo 95.94 Mo.upf
CELL_PARAMETERS angstrom
0.000 2.586 2.586
2.586 0.000 2.586
2.586 2.586 0.000
ATOMIC_POSITIONS crystal
As 0.000 0.000 0.000
Mo 0.500 0.500 0.500
```


[2]
Compound: Ga2Pd2O5
Source: OQMD via LeMat-Bulk
Functional: PBE-GGA
Structure: relaxed Values from VASP.

Symmetry: P4/mmm (123)
Excess energy over the best structure of this formula in the dataset in eV/atom: 0.283
Electronic total energy in eV/f.u.: -45.310

Structure (Quantum ESPRESSO input):
```
&SYSTEM
  ibrav = 0, nat = 9, ntyp = 3
/
ATOMIC_SPECIES
Ga 69.72 Ga.upf
O 16.00 O.upf
Pd 106.42 Pd.upf
CELL_PARAMETERS angstrom
7.740 0.000 0.000
0.000 3.805 0.000
0.000 0.000 3.805
ATOMIC_POSITIONS crystal
Ga 0.000 0.000 0.000
Ga 0.500 0.000 0.000
O 0.159 0.500 0.000
O 0.841 0.500 0.000
O 0.159 0.000 0.500
O 0.841 0.000 0.500
O 0.500 0.500 0.500
Pd 0.228 0.500 0.500
Pd 0.772 0.500 0.500
```


[3]
Compound: NaScSiPt
Source: OQMD via LeMat-Bulk
Functional: PBE-GGA
Structure: relaxed Values from VASP.

Symmetry: F-43m (216)
Excess energy over the best structure of this formula in the dataset in eV/atom: 0.198
Electronic total energy in eV/f.u.: -20.633

Structure (Quantum ESPRESSO input):
```
&SYSTEM
  ibrav = 0, nat = 4, ntyp = 4
/
ATOMIC_SPECIES
Na 22.99 Na.upf
Pt 195.08 Pt.upf
Sc 44.96 Sc.upf
Si 28.09 Si.upf
CELL_PARAMETERS angstrom
0.000 3.287 3.287
3.287 0.000 3.287
3.287 3.287 0.000
ATOMIC_POSITIONS crystal
Na 0.750 0.750 0.750
Pt 0.000 0.000 0.000
Sc 0.250 0.250 0.250
Si 0.500 0.500 0.500
```


[4]
Compound: Ba2SiHg
Source: OQMD via LeMat-Bulk
Functional: PBE-GGA
Structure: relaxed Values from VASP.

Symmetry: F-43m (216)
Electronic total energy in eV/f.u.: -9.582

Structure (Quantum ESPRESSO input):
```
&SYSTEM
  ibrav = 0, nat = 4, ntyp = 3
/
ATOMIC_SPECIES
Ba 137.33 Ba.upf
Hg 200.59 Hg.upf
Si 28.09 Si.upf
CELL_PARAMETERS angstrom
0.000 4.024 4.024
4.024 0.000 4.024
4.024 4.024 0.000
ATOMIC_POSITIONS crystal
Ba 0.000 0.000 0.000
Ba 0.750 0.750 0.750
Hg 0.250 0.250 0.250
Si 0.500 0.500 0.500
```


[5]
Compound: SmGdNO
Source: OQMD via LeMat-Bulk
Functional: PBE-GGA
Structure: relaxed Values from VASP.

Symmetry: Pmma (51)
Excess energy over the best structure of this formula in the dataset in eV/atom: 0.000
Electronic total energy in eV/f.u.: -31.253

Structure (Quantum ESPRESSO input):
```
&SYSTEM
  ibrav = 0, nat = 8, ntyp = 4
/
ATOMIC_SPECIES
Gd 157.25 Gd.upf
N 14.01 N.upf
O 16.00 O.upf
Sm 150.36 Sm.upf
CELL_PARAMETERS angstrom
4.055 0.000 0.000
0.000 4.986 0.000
0.000 0.000 6.995
ATOMIC_POSITIONS crystal
Gd 0.000 0.439 0.333
Gd 0.000 0.939 0.667
N 0.000 0.938 0.339
N 0.000 0.438 0.661
O 0.500 0.439 0.180
O 0.500 0.939 0.820
Sm 0.500 0.938 0.165
Sm 0.500 0.438 0.835
```


[6]
Compound: In7Pt3
Source: OQMD via LeMat-Bulk
Functional: PBE-GGA
Structure: relaxed Values from VASP.

Symmetry: Im-3m (229)
Electronic total energy in eV/f.u.: -41.575

Structure (Quantum ESPRESSO input):
```
&SYSTEM
  ibrav = 0, nat = 20, ntyp = 2
/
ATOMIC_SPECIES
In 114.82 In.upf
Pt 195.08 Pt.upf
CELL_PARAMETERS angstrom
-3.944 6.951 -2.087
6.305 -1.252 -5.188
-5.235 -6.374 -0.440
ATOMIC_POSITIONS crystal
In 0.326 0.000 0.000
In 0.674 0.000 0.000
In 0.000 0.326 0.000
In 0.000 0.674 0.000
In 0.750 0.500 0.250
In 0.500 0.750 0.250
In 0.000 0.000 0.326
In 0.326 0.326 0.326
In 0.750 0.250 0.500
In 0.250 0.750 0.500
In 0.000 0.000 0.674
In 0.674 0.674 0.674
In 0.500 0.250 0.750
In 0.250 0.500 0.750
Pt 0.345 0.345 0.000
Pt 0.655 0.655 0.000
Pt 0.345 0.000 0.345
Pt 0.000 0.345 0.345
Pt 0.655 0.000 0.655
Pt 0.000 0.655 0.655
```


[7]
Compound: Li4CuSi2Au
Source: OQMD via LeMat-Bulk
Functional: PBE-GGA
Structure: relaxed Values from VASP.

Symmetry: P-4m2 (115)
Electronic total energy in eV/f.u.: -28.368

Structure (Quantum ESPRESSO input):
```
&SYSTEM
  ibrav = 0, nat = 8, ntyp = 4
/
ATOMIC_SPECIES
Au 196.97 Au.upf
Cu 63.55 Cu.upf
Li 6.94 Li.upf
Si 28.09 Si.upf
CELL_PARAMETERS angstrom
-2.727 -3.078 -0.603
1.142 -0.230 -3.989
4.173 -3.975 1.423
ATOMIC_POSITIONS crystal
Au 0.000 0.000 0.000
Cu 0.500 0.500 0.500
Li 0.500 0.500 0.000
Li 0.000 0.500 0.262
Li 0.000 0.000 0.500
Li 0.500 0.000 0.738
Si 0.500 0.000 0.265
Si 0.000 0.500 0.735
```


[8]
Compound: InB4W
Source: OQMD via LeMat-Bulk
Functional: PBE-GGA
Structure: relaxed Values from VASP.

Symmetry: P6/mmm (191)
Excess energy over the best structure of this formula in the dataset in eV/atom: 0.000
Electronic total energy in eV/f.u.: -42.049

Structure (Quantum ESPRESSO input):
```
&SYSTEM
  ibrav = 0, nat = 6, ntyp = 3
/
ATOMIC_SPECIES
B 10.81 B.upf
In 114.82 In.upf
W 183.84 W.upf
CELL_PARAMETERS angstrom
2.994 0.000 0.000
-1.497 2.593 0.000
0.000 0.000 8.981
ATOMIC_POSITIONS crystal
B 0.667 0.333 0.184
B 0.333 0.667 0.184
B 0.667 0.333 0.816
B 0.333 0.667 0.816
In 0.000 0.000 0.500
W 0.000 0.000 0.000
```


[9]
Compound: LuHfCu2
Source: OQMD via LeMat-Bulk
Functional: PBE-GGA
Structure: relaxed Values from VASP.

Symmetry: F-43m (216)
Electronic total energy in eV/f.u.: -20.814
Calculated formation energy in kcal/mol of atoms: 6.3

Structure (Quantum ESPRESSO input):
```
&SYSTEM
  ibrav = 0, nat = 4, ntyp = 3
/
ATOMIC_SPECIES
Cu 63.55 Cu.upf
Hf 178.49 Hf.upf
Lu 174.97 Lu.upf
CELL_PARAMETERS angstrom
0.000 3.261 3.261
3.261 0.000 3.261
3.261 3.261 0.000
ATOMIC_POSITIONS crystal
Cu 0.000 0.000 0.000
Cu 0.250 0.250 0.250
Hf 0.750 0.750 0.750
Lu 0.500 0.500 0.500
```


[10]
Compound: RbTaNO
Source: OQMD via LeMat-Bulk
Functional: PBE-GGA
Structure: relaxed Values from VASP.

Symmetry: P4/nmm (129)
Excess energy over the best structure of this formula in the dataset in eV/atom: 1.017
Electronic total energy in eV/f.u.: -27.232

Structure (Quantum ESPRESSO input):
```
&SYSTEM
  ibrav = 0, nat = 8, ntyp = 4
/
ATOMIC_SPECIES
N 14.01 N.upf
O 16.00 O.upf
Rb 85.47 Rb.upf
Ta 180.95 Ta.upf
CELL_PARAMETERS angstrom
4.038 0.000 0.000
0.000 4.038 0.000
0.000 0.000 11.013
ATOMIC_POSITIONS crystal
N 0.750 0.750 0.452
N 0.250 0.250 0.548
O 0.750 0.250 0.000
O 0.250 0.750 0.000
Rb 0.250 0.250 0.159
Rb 0.750 0.750 0.841
Ta 0.750 0.250 0.500
Ta 0.250 0.750 0.500
```


[11]
Compound: GdSi
Source: OQMD via LeMat-Bulk
Functional: PBE-GGA
Structure: relaxed Values from VASP.

Symmetry: Fm-3m (225)
Electronic total energy in eV/f.u.: -10.995

Structure (Quantum ESPRESSO input):
```
&SYSTEM
  ibrav = 0, nat = 2, ntyp = 2
/
ATOMIC_SPECIES
Gd 157.25 Gd.upf
Si 28.09 Si.upf
CELL_PARAMETERS angstrom
0.000 2.931 2.931
2.931 0.000 2.931
2.931 2.931 0.000
ATOMIC_POSITIONS crystal
Gd 0.000 0.000 0.000
Si 0.500 0.500 0.500
```


[12]
Compound: Ta5Co7
Source: OQMD via LeMat-Bulk
Functional: PBE-GGA
Structure: relaxed Values from VASP.

Symmetry: P6_3/mmc (194)
Excess energy over the best structure of this formula in the dataset in eV/atom: 0.025
Electronic total energy in eV/f.u.: -105.806
Calculated formation energy in kcal/mol of atoms: 6.2

Structure (Quantum ESPRESSO input):
```
&SYSTEM
  ibrav = 0, nat = 24, ntyp = 2
/
ATOMIC_SPECIES
Co 58.93 Co.upf
Ta 180.95 Ta.upf
CELL_PARAMETERS angstrom
-0.164 4.212 -2.645
-3.029 -3.778 -1.147
-10.976 5.792 9.905
ATOMIC_POSITIONS crystal
Co 0.500 0.000 0.000
Co 0.000 0.500 0.000
Co 0.500 0.500 0.000
Co 0.333 0.667 0.116
Co 0.667 0.333 0.154
Co 0.667 0.333 0.346
Co 0.333 0.667 0.384
Co 0.500 0.000 0.500
Co 0.000 0.500 0.500
Co 0.500 0.500 0.500
Co 0.667 0.333 0.616
Co 0.333 0.667 0.654
Co 0.333 0.667 0.846
Co 0.667 0.333 0.884
Ta 0.000 0.000 0.086
Ta 0.166 0.331 0.250
Ta 0.166 0.834 0.250
Ta 0.669 0.834 0.250
Ta 0.000 0.000 0.414
Ta 0.000 0.000 0.586
Ta 0.331 0.166 0.750
Ta 0.834 0.166 0.750
Ta 0.834 0.669 0.750
Ta 0.000 0.000 0.914
```


In order of appearance, V = 34.57, 112.08, 71.01, 130.37, 141.42, 433.88, 102.53, 69.72, 69.36, 179.57, 50.37, 340.57 Å³/cell.